VASP calculation (GGA+U) on a relaxed UMnV2O8 crystal.

a = 4.745 Å, b = 4.745 Å, c = 6.057 Å
α = 90.00°, β = 90.00°, γ = 90.32°
Last column: magnetic moment on the atom in μB.
Atoms (fractional coordinates):
1 O 0.798 0.202 0.737  -0.01
2 V 0.500 0.500 0.273  1.46
3 O 0.313 0.313 0.000  -0.03
4 U 0.000 0.000 0.000  0.15
5 O 0.798 0.202 0.263  -0.01
6 O 0.202 0.798 0.263  -0.01
7 V 0.500 0.500 0.727  1.46
8 O 0.202 0.798 0.737  -0.01
9 O 0.294 0.294 0.500  -0.06
10 O 0.687 0.687 0.000  -0.03
11 O 0.706 0.706 0.500  -0.06
12 Mn 0.000 0.000 0.500  -1.96

Output
DFT total energy: -8.28 eV per atom